## Ba5MgMnV4Cl6O14 (GGA+U)

Data for crystalline Ba5MgMnV4Cl6O14 at its relaxed geometry.

Computed properties:
ρ in kg/m3: 4038
Total magnetization in μB per cell: 10.0
Raw total energy in eV per atom: -6.505

a b c (Å): 13.561 5.823 15.988
angles (deg): 90.00 113.61 90.00
Element x y z (fractional)
Ba (0.000, 0.248, 0.250)
Ba (0.000, 0.752, 0.750)
Ba (0.264, 0.247, 0.706)
Ba (0.264, 0.753, 0.206)
Ba (0.271, 0.249, 0.978)
Ba (0.271, 0.751, 0.478)
Ba (0.729, 0.249, 0.522)
Ba (0.729, 0.751, 0.022)
Ba (0.736, 0.247, 0.794)
Ba (0.736, 0.753, 0.294)
Mg (0.500, 0.250, 0.250)
Mg (0.500, 0.750, 0.750)
Mn (0.000, 0.500, 0.000)
Mn (0.000, 0.500, 0.500)
V (0.295, 0.250, 0.350)
V (0.295, 0.750, 0.850)
V (0.452, 0.250, 0.596)
V (0.452, 0.750, 0.096)
V (0.548, 0.250, 0.904)
V (0.548, 0.750, 0.404)
V (0.705, 0.250, 0.150)
V (0.705, 0.750, 0.650)
Cl (0.002, 0.272, 0.863)
Cl (0.002, 0.728, 0.363)
Cl (0.145, 0.255, 0.112)
Cl (0.145, 0.745, 0.612)
Cl (0.149, 0.255, 0.487)
Cl (0.149, 0.745, 0.987)
Cl (0.851, 0.255, 0.013)
Cl (0.851, 0.745, 0.513)
Cl (0.855, 0.255, 0.388)
Cl (0.855, 0.745, 0.888)
Cl (0.998, 0.272, 0.637)
Cl (0.998, 0.728, 0.137)
O (0.209, 0.018, 0.322)
O (0.209, 0.982, 0.822)
O (0.213, 0.485, 0.323)
O (0.213, 0.515, 0.823)
O (0.370, 0.246, 0.285)
O (0.370, 0.754, 0.785)
O (0.376, 0.247, 0.473)
O (0.376, 0.753, 0.973)
O (0.415, 0.249, 0.882)
O (0.415, 0.751, 0.382)
O (0.417, 0.010, 0.643)
O (0.417, 0.491, 0.643)
O (0.417, 0.509, 0.143)
O (0.417, 0.990, 0.143)
O (0.583, 0.010, 0.857)
O (0.583, 0.491, 0.857)
O (0.583, 0.509, 0.357)
O (0.583, 0.990, 0.357)
O (0.585, 0.249, 0.618)
O (0.585, 0.751, 0.118)
O (0.624, 0.247, 0.027)
O (0.624, 0.753, 0.527)
O (0.630, 0.246, 0.215)
O (0.630, 0.754, 0.715)
O (0.787, 0.485, 0.177)
O (0.787, 0.515, 0.677)
O (0.791, 0.018, 0.178)
O (0.791, 0.982, 0.678)